Material: TlF3
Method: DFT, PBE
State: relaxed

Results
SG: P-4m2, No. 115
DFT total energy, eV/cell: -13.24
Formation energy from raw total energies, kJ/mol of atoms: -127

Geometry as POSCAR:
```
TlF3
1.0
-0.065 -3.484 -0.463
1.127 0.418 -3.303
3.822 -0.240 1.274
F Tl
3 1
direct
0.000 0.500 0.472 F
0.500 0.000 0.694 F
0.500 0.500 0.083 F
0.000 0.000 0.083 Tl
```